1.
VASP calculation (PBE) on a geometry-optimized CuAgS2Cl structure.

Values from the calculation:
Total moment = 0.8 μB per cell
ΔE to the lowest computed polymorph = 0.000 eV/f.u.
Formation energy from raw total energies = 0.3689 eV per atom
Total DFT energy (no corrections) = -15.2 eV per formula unit

Unit cell a=4.319 b=4.319 c=6.181 alpha=90.00 beta=90.00 gamma=90.00
Space group P4/mmm (No. 123)
Unique sites:
1 Cu 0.000 0.000 0.000
2 Ag 0.500 0.500 0.500
3 S 0.000 0.500 0.000
4 Cl 0.000 0.000 0.500

---

2.
VASP calculation (PBE) on a geometry-optimized CuAgS2Cl structure.

Values from the calculation:
Total moment = 0.0 μB per cell
ΔE to the lowest computed polymorph = 2.157 eV/f.u.
Formation energy from raw total energies = 0.8002 eV per atom
Total DFT energy (no corrections) = -13.0 eV per formula unit

Unit cell a=4.838 b=4.838 c=4.956 alpha=90.00 beta=90.00 gamma=90.00
Space group P4/mmm (No. 123)
Unique sites:
1 Cu 0.000 0.000 0.000
2 Ag 0.500 0.500 0.500
3 S 0.000 0.500 0.500
4 Cl 0.500 0.500 0.000

---

3.
VASP calculation (PBE) on a geometry-optimized CuAgSCl2 structure.

Values from the calculation:
Total moment = 1.2 μB per cell
ΔE to the lowest computed polymorph = 0.000 eV/f.u.
Formation energy from raw total energies = 0.1030 eV per atom
Total DFT energy (no corrections) = -14.3 eV per formula unit

Unit cell a=4.848 b=4.848 c=4.525 alpha=90.00 beta=90.00 gamma=90.00
Space group P4/mmm (No. 123)
Unique sites:
1 Cu 0.000 0.000 0.000
2 Ag 0.500 0.500 0.500
3 S 0.000 0.000 0.500
4 Cl 0.000 0.500 0.000

---

4.
VASP calculation (PBE) on a geometry-optimized CuAgSCl2 structure.

Values from the calculation:
Total moment = 0.8 μB per cell
ΔE to the lowest computed polymorph = 1.921 eV/f.u.
Formation energy from raw total energies = 0.4871 eV per atom
Total DFT energy (no corrections) = -12.3 eV per formula unit

Unit cell a=4.931 b=4.931 c=4.985 alpha=90.00 beta=90.00 gamma=90.00
Space group P4/mmm (No. 123)
Unique sites:
1 Cu 0.000 0.000 0.000
2 Ag 0.500 0.500 0.500
3 S 0.500 0.500 0.000
4 Cl 0.000 0.500 0.500

---

5.
VASP calculation (PBE) on a geometry-optimized ScCuAgCl6 structure.

Values from the calculation:
Total moment = 2.1 μB per cell
Formation energy from raw total energies = -1.1587 eV per atom
Total DFT energy (no corrections) = -34.8 eV per formula unit

Unit cell a=6.3440 b=6.3440 c=12.0535 alpha=90.00 beta=90.00 gamma=120.00
Space group P-31c (No. 163)
Unique sites:
1 Sc 0.3333 0.6667 0.2500
2 Cu 0.3333 0.6667 0.7500
3 Ag 0.0000 0.0000 0.0000
4 Cl 0.0054 0.3574 0.6335

---

6.
VASP calculation (PBE) on a geometry-optimized CuAgSnCl6 structure.

Values from the calculation:
Total moment = 0.3 μB per cell
Formation energy from raw total energies = -0.6722 eV per atom
Total DFT energy (no corrections) = -28.1 eV per formula unit

Unit cell a=6.4627 b=6.4627 c=12.1222 alpha=90.00 beta=90.00 gamma=120.00
Space group P-31c (No. 163)
Unique sites:
1 Cu 0.3333 0.6667 0.2500
2 Ag 0.0000 0.0000 0.0000
3 Sn 0.3333 0.6667 0.7500
4 Cl 0.0036 0.3564 0.6334

---

7.
VASP calculation (PBE) on a geometry-optimized Cu4Ag3SnCl12 structure.

Values from the calculation:
Total moment = 6.1 μB per cell
Formation energy from raw total energies = -0.4948 eV per atom
Total DFT energy (no corrections) = -61.0 eV per formula unit

Unit cell a=13.5065 b=13.5065 c=10.1639 alpha=90.00 beta=90.00 gamma=120.00
Space group R32 (No. 155, hexagonal axes)
Unique sites:
1 Cu 0.0000 0.0000 0.0000
2 Cu 0.0000 0.4250 0.0000
3 Ag 0.0000 0.5661 0.5000
4 Sn 0.0000 0.0000 0.5000
5 Cl 0.0000 0.5888 0.0000
6 Cl 0.0000 0.8384 0.0000
7 Cl 0.0434 0.1973 0.6736

---

8.
VASP calculation (PBE) on a geometry-optimized CuAg2SnCl6 structure.

Values from the calculation:
Total moment = 0.0 μB per cell
Formation energy from raw total energies = -0.6037 eV per atom
Total DFT energy (no corrections) = -30.9 eV per formula unit

Unit cell a=6.769 b=6.770 c=7.235 alpha=117.77 beta=90.04 gamma=119.82
Space group P1 (No. 1)
Unique sites:
1 Cu 0.000 0.000 0.000
2 Ag 0.261 0.523 0.785
3 Ag 0.737 0.472 0.206
4 Sn 0.500 0.000 0.499
5 Cl 0.112 0.875 0.235
6 Cl 0.237 0.877 0.764
7 Cl 0.362 0.475 0.236
8 Cl 0.638 0.525 0.764
9 Cl 0.763 0.124 0.235
10 Cl 0.887 0.125 0.765

---

9.
VASP calculation (PBE) on a geometry-optimized SrCuAgCl5 structure.

Values from the calculation:
Total moment = 4.2 μB per cell
Formation energy from raw total energies = -1.1497 eV per atom
Total DFT energy (no corrections) = -27.1 eV per formula unit

Unit cell a=10.372 b=10.121 c=10.376 alpha=90.00 beta=117.05 gamma=90.00
Space group C2/c (No. 15)
Unique sites:
1 Sr 0.250 0.250 0.000
2 Cu 0.000 0.071 0.250
3 Ag 0.000 0.391 0.250
4 Cl 0.000 0.365 0.750
5 Cl 0.007 0.212 0.073
6 Cl 0.226 0.001 0.359

---

10.
VASP calculation (PBE) on a geometry-optimized SrCuAg2Cl structure.

Values from the calculation:
Total moment = 0.0 μB per cell
Formation energy from raw total energies = -0.2419 eV per atom
Total DFT energy (no corrections) = -14.5 eV per formula unit

Unit cell a=4.807 b=4.807 c=6.064 alpha=90.00 beta=90.00 gamma=90.00
Space group P4/mmm (No. 123)
Unique sites:
1 Sr 0.000 0.000 0.000
2 Cu 0.000 0.000 0.500
3 Ag 0.000 0.500 0.500
4 Cl 0.500 0.500 0.000

---

11.
VASP calculation (PBE) on a geometry-optimized SrCu4Ag3Cl12 structure.

Values from the calculation:
Total moment = 5.9 μB per cell
Formation energy from raw total energies = -0.7213 eV per atom
Total DFT energy (no corrections) = -63.2 eV per formula unit

Unit cell a=13.5546 b=13.5546 c=10.1922 alpha=90.00 beta=90.00 gamma=120.00
Space group R32 (No. 155, hexagonal axes)
Unique sites:
1 Sr 0.0000 0.0000 0.0000
2 Cu 0.0000 0.0000 0.5000
3 Cu 0.0000 0.4230 0.5000
4 Ag 0.0000 0.5682 0.0000
5 Cl 0.0000 0.5866 0.5000
6 Cl 0.0000 0.8385 0.5000
7 Cl 0.0447 0.1996 0.1766

---

12.
VASP calculation (PBE) on a geometry-optimized Tl2Cu2AgCl6 structure.

Values from the calculation:
Total moment = 0.8 μB per cell
Formation energy from raw total energies = -0.6643 eV per atom
Total DFT energy (no corrections) = -34.2 eV per formula unit

Unit cell a=13.347 b=7.026 c=7.302 alpha=90.00 beta=117.39 gamma=90.00
Space group C2/m (No. 12)
Unique sites:
1 Tl 0.227 0.000 0.201
2 Cu 0.053 0.500 0.224
3 Ag 0.000 0.000 0.500
4 Cl 0.055 0.252 0.790
5 Cl 0.235 0.500 0.329